Here is a relaxed structure of BaRhCl5 from Alexandria via LeMat-Bulk. Energies are from GGA-PBE.

Output
E   -3.99 eV per atom
Crystal system   monoclinic
Space-group type   No. 15
Theoretical density   3.32 Mg/m³

abc: 7.699 7.699 10.071
angles: 80.05 119.48 125.62
Atoms (fractional coordinates):
Rh 0.500 0.000 0.500
Cl 0.700 0.370 0.585
Cl 0.839 0.629 0.957
Cl 0.172 0.881 0.543
Cl 0.715 0.885 0.085
Cl 0.285 0.115 0.915
Ba 0.767 0.517 0.250
Cl 0.672 0.922 0.750
Cl 0.328 0.078 0.250
Rh 0.000 0.000 0.000
Ba 0.233 0.483 0.750
Cl 0.300 0.630 0.415
Cl 0.828 0.119 0.457
Cl 0.161 0.371 0.043

---

Here is a relaxed structure of Tb5Al2Te from Alexandria via LeMat-Bulk. Energies are from GGA-PBE.

Output
E   -4.74 eV per atom
Crystal system   tetragonal
Space-group type   No. 140
Theoretical density   7.47 Mg/m³

abc: 8.284 8.284 8.623
angles: 118.71 118.71 90.00
Atoms (fractional coordinates):
Tb 0.000 0.000 0.000
Tb 0.697 0.197 0.709
Tb 0.989 0.489 0.291
Tb 0.197 0.011 0.709
Tb 0.489 0.303 0.291
Tb 0.011 0.511 0.709
Al 0.140 0.360 0.000
Tb 0.500 0.500 0.000
Te 0.750 0.750 0.500
Tb 0.803 0.989 0.291
Tb 0.303 0.803 0.291
Al 0.860 0.640 0.000
Al 0.640 0.140 0.000
Tb 0.511 0.697 0.709
Te 0.250 0.250 0.500
Al 0.360 0.860 0.000

---

Here is a relaxed structure of Dy4Y15Ho from Alexandria via LeMat-Bulk. Energies are from GGA-PBE.

Output
Formation energy   0.0233 eV per atom
E   -5.97 eV per atom
Crystal system   tetragonal
Space-group type   No. 123
Theoretical density   5.54 Mg/m³

abc: 5.049 5.049 25.241
angles: 90.00 90.00 90.00
Atoms (fractional coordinates):
Dy 0.000 0.000 0.800
Dy 0.000 0.000 0.400
Y 0.500 0.000 0.700
Y 0.500 0.000 0.900
Y 0.500 0.500 0.800
Dy 0.000 0.000 0.200
Y 0.500 0.500 0.000
Y 0.000 0.500 0.500
Y 0.000 0.500 0.300
Y 0.000 0.500 0.900
Y 0.500 0.500 0.400
Y 0.500 0.000 0.300
Y 0.500 0.000 0.500
Y 0.000 0.500 0.100
Ho 0.000 0.000 0.000
Dy 0.000 0.000 0.600
Y 0.500 0.500 0.200
Y 0.500 0.000 0.100
Y 0.000 0.500 0.700
Y 0.500 0.500 0.600

---

Please write out number 1 again, unchanged.
Here is a relaxed structure of BaRhCl5 from Alexandria via LeMat-Bulk. Energies are from GGA-PBE.

Output
E   -3.99 eV per atom
Crystal system   monoclinic
Space-group type   No. 15
Theoretical density   3.32 Mg/m³

abc: 7.699 7.699 10.071
angles: 80.05 119.48 125.62
Atoms (fractional coordinates):
Rh 0.500 0.000 0.500
Cl 0.700 0.370 0.585
Cl 0.839 0.629 0.957
Cl 0.172 0.881 0.543
Cl 0.715 0.885 0.085
Cl 0.285 0.115 0.915
Ba 0.767 0.517 0.250
Cl 0.672 0.922 0.750
Cl 0.328 0.078 0.250
Rh 0.000 0.000 0.000
Ba 0.233 0.483 0.750
Cl 0.300 0.630 0.415
Cl 0.828 0.119 0.457
Cl 0.161 0.371 0.043